[1]
Below is an optimized crystal structure of KZr2InW, with properties calculated at the PBE level.

Properties
For the uncorrected energy, the calculation gives -4.532 eV per atom. Its formation energy is 2245 meV per atom. As for the space group: P4/mmm, No. 123.

a b c (Å): 4.8568 4.8568 4.7026
angles (deg): 90.00 90.00 90.00
Sites, in units of the cell vectors:
K  0.0000  0.0000  0.0000
Zr  0.0000  0.5000  0.0000
Zr  0.5000  0.0000  0.0000
In  0.5000  0.5000  0.5000
W  0.0000  0.0000  0.5000

[2]
Below is an optimized crystal structure of ErAlGa, with properties calculated at the PBE level.

Properties
For the uncorrected energy, the calculation gives -4.338 eV per atom. Its formation energy is -561 meV per atom. As for the space group: C2/m, No. 12.

a b c (Å): 5.7101 5.7101 6.9767
angles (deg): 126.22 126.22 43.95
Sites, in units of the cell vectors:
Er  0.0589  0.0589  0.3124
Er  0.9411  0.9411  0.6876
Al  0.3380  0.3380  0.8979
Al  0.6620  0.6620  0.1021
Ga  0.3381  0.3381  0.2948
Ga  0.6619  0.6619  0.7052

[3]
Below is an optimized crystal structure of LaTb5Sm2Er, with properties calculated at the PBE level.

Properties
For the uncorrected energy, the calculation gives -4.405 eV per atom. Its formation energy is 270 meV per atom. As for the space group: I4/mcm, No. 140.

a b c (Å): 9.9150 9.9150 9.9150
angles (deg): 127.23 127.23 77.88
Sites, in units of the cell vectors:
La  0.2500  0.2500  0.0000
La  0.7500  0.7500  0.0000
Tb  0.0000  0.0000  0.0000
Tb  0.0723  0.5723  0.9153
Tb  0.1569  0.0723  0.5000
Tb  0.3431  0.8431  0.9153
Tb  0.4277  0.3431  0.5000
Tb  0.5000  0.5000  0.0000
Tb  0.5723  0.6569  0.5000
Tb  0.6569  0.1569  0.0847
Tb  0.8431  0.9277  0.5000
Tb  0.9277  0.4277  0.0847
Sm  0.1162  0.3838  0.5000
Sm  0.3838  0.8838  0.2677
Sm  0.6162  0.1162  0.7323
Sm  0.8838  0.6162  0.5000
Er  0.2500  0.7500  0.5000
Er  0.7500  0.2500  0.5000

[4]
Below is an optimized crystal structure of Cu2ReSb, with properties calculated at the PBE level.

Properties
For the uncorrected energy, the calculation gives -5.663 eV per atom. The value obtained for the uncorrected formation energy is 0.53 eV per atom. As for the space group: P2/m, No. 10.

a b c (Å): 2.9047 3.8416 5.5993
angles (deg): 90.00 90.61 90.00
Sites, in units of the cell vectors:
Cu  0.0055  0.0000  0.2236
Cu  0.9945  0.0000  0.7764
Re  0.5000  0.5000  0.0000
Sb  0.5000  0.5000  0.5000

[5]
Below is an optimized crystal structure of CsTm2CuCl8, with properties calculated at the PBE level.

Properties
For the uncorrected energy, the calculation gives -4.289 eV per atom. The value obtained for the uncorrected formation energy is -1.90 eV per atom. As for the space group: P-1, No. 2.

a b c (Å): 6.5791 8.0044 8.9139
angles (deg): 107.23 105.36 103.66
Sites, in units of the cell vectors:
Cs  0.0000  0.0000  0.0000
Tm  0.0486  0.7546  0.4912
Tm  0.9514  0.2454  0.5088
Cu  0.0000  0.5000  0.0000
Cl  0.1685  0.3789  0.8498
Cl  0.2044  0.4768  0.4175
Cl  0.2266  0.0643  0.4456
Cl  0.3464  0.8999  0.7749
Cl  0.6536  0.1001  0.2251
Cl  0.7734  0.9357  0.5544
Cl  0.7956  0.5232  0.5825
Cl  0.8315  0.6211  0.1502

[6]
Below is an optimized crystal structure of TiPdPt3, with properties calculated at the PBE level.

Properties
Its energy above the most stable polymorph in this dataset is 122 meV per atom. For the uncorrected energy, the calculation gives -6.547 eV per atom. Its formation energy is -305 meV per atom. As for the space group: Cmcm, No. 63.

a b c (Å): 7.0512 7.0512 5.0047
angles (deg): 90.00 90.00 136.57
Sites, in units of the cell vectors:
Ti  0.1778  0.8222  0.7500
Ti  0.8222  0.1778  0.2500
Pd  0.4419  0.5581  0.2500
Pd  0.5581  0.4419  0.7500
Pt  0.0000  0.0000  0.0000
Pt  0.0000  0.0000  0.5000
Pt  0.0900  0.4113  0.7500
Pt  0.4113  0.0900  0.2500
Pt  0.5887  0.9100  0.7500
Pt  0.9100  0.5887  0.2500

[7]
Below is an optimized crystal structure of Pm2HoEr5, with properties calculated at the PBE level.

Properties
For the uncorrected energy, the calculation gives -4.591 eV per atom. Its formation energy is 21 meV per atom. As for the space group: Pbam, No. 55.

a b c (Å): 7.0882 14.1773 5.0056
angles (deg): 90.00 90.00 90.00
Sites, in units of the cell vectors:
Pm  0.2494  0.1250  0.0000
Pm  0.2506  0.6250  0.0000
Pm  0.7494  0.3750  0.0000
Pm  0.7506  0.8750  0.0000
Ho  0.0000  0.5000  0.5000
Ho  0.5000  0.0000  0.5000
Er  0.0000  0.0000  0.5000
Er  0.0008  0.7501  0.5000
Er  0.2493  0.3749  0.0000
Er  0.2507  0.8749  0.0000
Er  0.4992  0.2501  0.5000
Er  0.5000  0.5000  0.5000
Er  0.5008  0.7499  0.5000
Er  0.7493  0.1251  0.0000
Er  0.7507  0.6251  0.0000
Er  0.9992  0.2499  0.5000

[8]
Below is an optimized crystal structure of La9Tb2Dy, with properties calculated at the PBE level.

Properties
For the uncorrected energy, the calculation gives -4.844 eV per atom. Its formation energy is 7 meV per atom. As for the space group: P4/mmm, No. 123.

a b c (Å): 5.2079 5.2079 15.6180
angles (deg): 90.00 90.00 90.00
Sites, in units of the cell vectors:
La  0.0000  0.0000  0.0000
La  0.0000  0.0000  0.3332
La  0.0000  0.0000  0.6668
La  0.0000  0.5000  0.1664
La  0.0000  0.5000  0.5000
La  0.0000  0.5000  0.8336
La  0.5000  0.0000  0.1664
La  0.5000  0.0000  0.5000
La  0.5000  0.0000  0.8336
Tb  0.5000  0.5000  0.3330
Tb  0.5000  0.5000  0.6670
Dy  0.5000  0.5000  0.0000